*1*
This record from the Alexandria database describes crystalline SbC2 at its relaxed geometry. The functional is PBE-GGA.

a = 4.7039 Å, b = 4.7039 Å, c = 4.7039 Å
α = 116.05°, β = 116.05°, γ = 96.99°
Element x y z (fractional)
C1 0.5930 0.9070 0.5000
C2 0.4070 0.0930 0.5000
C3 0.0930 0.5930 0.6861
Sb1 0.7500 0.7500 0.0000
Sb2 0.2500 0.2500 0.0000
C4 0.9070 0.4070 0.3139

Values from the calculation:
Magnetization ... 0.00 μB/cell



*2*
This record from the Alexandria database describes crystalline SbC2 at its relaxed geometry. The functional is PBE-GGA.

a = 7.9921 Å, b = 7.9921 Å, c = 2.6436 Å
α = 90.00°, β = 90.00°, γ = 120.00°
Element x y z (fractional)
Sb1 0.0000 0.0000 0.5000
C1 0.6469 0.6469 0.0000
Sb2 0.3333 0.6667 0.0000
C2 0.7174 0.7174 0.5000
C3 0.2826 0.0000 0.5000
C4 0.0000 0.2826 0.5000
Sb3 0.6667 0.3333 0.0000
C5 0.3531 0.0000 0.0000
C6 0.0000 0.3531 0.0000

Values from the calculation:
Magnetization ... 0.00 μB/cell



*3*
This record from the Alexandria database describes crystalline SbC2 at its relaxed geometry. The functional is PBE-GGA.

a = 5.3070 Å, b = 5.3070 Å, c = 5.3070 Å
α = 90.00°, β = 90.00°, γ = 90.00°
Element x y z (fractional)
C1 0.4243 0.4243 0.5757
C2 0.0757 0.5757 0.0757
Sb1 0.0000 0.5000 0.5000
Sb2 0.5000 0.0000 0.5000
C3 0.0757 0.9243 0.5757
C4 0.5757 0.5757 0.4243
C5 0.5757 0.9243 0.9243
C6 0.9243 0.4243 0.9243
C7 0.4243 0.0757 0.0757
C8 0.9243 0.0757 0.4243
Sb3 0.0000 0.0000 0.0000
Sb4 0.5000 0.5000 0.0000

Values from the calculation:
Magnetization ... 0.00 μB/cell



*4*
This record from the Alexandria database describes crystalline SbC2 at its relaxed geometry. The functional is PBE-GGA.

a = 2.7074 Å, b = 2.7074 Å, c = 18.3034 Å
α = 90.00°, β = 90.00°, γ = 120.00°
Element x y z (fractional)
C1 0.6667 0.3333 0.5000
C2 0.6667 0.3333 0.0000
C3 0.3333 0.6667 0.5000
Sb1 0.6667 0.3333 0.7500
C4 0.3333 0.6667 0.0000
Sb2 0.3333 0.6667 0.2500

Values from the calculation:
Magnetization ... 0.00 μB/cell



The data favor *4*; the next most stable structure lies 11.6 kJ/mol of atoms above it.



*1*
This record from the Alexandria database describes crystalline SbC at its relaxed geometry. The functional is PBE-GGA.

a = 3.3154 Å, b = 3.3154 Å, c = 3.1286 Å
α = 90.00°, β = 90.00°, γ = 120.00°
Element x y z (fractional)
C1 0.0000 0.0000 0.0000
Sb1 0.3333 0.6667 0.5000

Values from the calculation:
Magnetization ... 0.00 μB/cell



*2*
This record from the Alexandria database describes crystalline SbC at its relaxed geometry. The functional is PBE-GGA.

a = 3.4589 Å, b = 3.4589 Å, c = 3.4589 Å
α = 60.00°, β = 60.00°, γ = 60.00°
Element x y z (fractional)
C1 0.0000 0.0000 0.0000
Sb1 0.5000 0.5000 0.5000

Values from the calculation:
Magnetization ... 0.00 μB/cell



The data favor *2*; the next most stable structure lies 23.7 kJ/mol of atoms above it.